Compound: TaBeZn2
Source: the Alexandria database
Functional: PBE-GGA
Structure: relaxed

Values from the calculation:
Calculated volume: 116.8 Å³/cell
DFT formation energy: 401 meV per atom

a b c (Å): 6.782 6.782 5.426
angles (deg): 51.32 51.32 90.00
Sites, in units of the cell vectors:
Be 0.250 0.750 0.500
Be 0.500 0.500 0.000
Zn 0.574 0.125 0.250
Zn 0.176 0.625 0.250
Zn 0.875 0.824 0.750
Zn 0.375 0.426 0.750
Ta 0.000 0.000 0.000
Ta 0.750 0.250 0.500